Computed, not measured: crystalline Ba2B2Ir at its relaxed geometry at the PBEsol level of DFT.

Properties
E_tot ... -5.10 eV per atom
Space-group type ... P4/mbm, No. 127
Energy of formation ... 0.531 eV/atom

Cell lengths 6.0693, 6.0693, 5.5509 Å; angles 90.00, 90.00, 90.00 degrees
Fractional positions:
Ba 0.1815 0.3185 0.0000
Ba 0.3185 0.8185 0.0000
Ba 0.6815 0.1815 0.0000
Ba 0.8185 0.6815 0.0000
B 0.2226 0.7226 0.5000
B 0.2774 0.2226 0.5000
B 0.7226 0.7774 0.5000
B 0.7774 0.2774 0.5000
Ir 0.0000 0.0000 0.5000
Ir 0.5000 0.5000 0.5000

Computed, not measured: crystalline K2BaBS at its relaxed geometry at the PBEsol level of DFT.

Properties
E_tot ... -2.14 eV per atom
Space-group type ... P4/mmm, No. 123
ΔE_f (raw) ... 1.02 eV/atom

Cell lengths 6.4475, 6.4475, 4.6360 Å; angles 90.00, 90.00, 90.00 degrees
Fractional positions:
K 0.0000 0.5000 0.0000
K 0.5000 0.0000 0.0000
Ba 0.0000 0.0000 0.0000
B 0.0000 0.0000 0.5000
S 0.5000 0.5000 0.5000

Computed, not measured: crystalline KBaZrB2 at its relaxed geometry at the PBEsol level of DFT.

Properties
E_tot ... -2.93 eV per atom
Space-group type ... P4/mmm, No. 123
Energy of formation ... 2.351 eV/atom

Cell lengths 5.1745, 5.1745, 5.4554 Å; angles 90.00, 90.00, 90.00 degrees
Fractional positions:
K 0.0000 0.0000 0.0000
Ba 0.5000 0.5000 0.5000
Zr 0.5000 0.5000 0.0000
B 0.0000 0.5000 0.5000
B 0.5000 0.0000 0.5000

Computed, not measured: crystalline Ba3La2B4O12 at its relaxed geometry at the PBEsol level of DFT.

Properties
E_tot ... -8.08 eV per atom
Space-group type ... Pnma, No. 62
ΔE_f (raw) ... -2.93 eV/atom

Cell lengths 7.7420, 16.7116, 8.9840 Å; angles 90.00, 90.00, 90.00 degrees
Fractional positions:
Ba 0.1716 0.2500 0.0338
Ba 0.1753 0.6246 0.1600
Ba 0.1753 0.8754 0.1600
Ba 0.3247 0.1246 0.6600
Ba 0.3247 0.3754 0.6600
Ba 0.3284 0.7500 0.5338
Ba 0.6716 0.2500 0.4662
Ba 0.6753 0.6246 0.3400
Ba 0.6753 0.8754 0.3400
Ba 0.8247 0.1246 0.8400
Ba 0.8247 0.3754 0.8400
Ba 0.8284 0.7500 0.9662
La 0.0320 0.5847 0.6702
La 0.0320 0.9153 0.6702
La 0.4680 0.0847 0.1702
La 0.4680 0.4153 0.1702
La 0.5320 0.5847 0.8298
La 0.5320 0.9153 0.8298
La 0.9680 0.0847 0.3298
La 0.9680 0.4153 0.3298
B 0.0190 0.2500 0.6095
B 0.1803 0.0356 0.9536
B 0.1803 0.4644 0.9536
B 0.2286 0.7500 0.8624
B 0.2714 0.2500 0.3624
B 0.3197 0.5356 0.4536
B 0.3197 0.9644 0.4536
B 0.4810 0.7500 0.1095
B 0.5190 0.2500 0.8905
B 0.6803 0.0356 0.5464
B 0.6803 0.4644 0.5464
B 0.7286 0.7500 0.6376
B 0.7714 0.2500 0.1376
B 0.8197 0.5356 0.0464
B 0.8197 0.9644 0.0464
B 0.9810 0.7500 0.3905
O 0.0294 0.6772 0.4559
O 0.0294 0.8228 0.4559
O 0.0957 0.2500 0.7485
O 0.1084 0.0337 0.8122
O 0.1084 0.4663 0.8122
O 0.1215 0.0850 0.0660
O 0.1215 0.4150 0.0660
O 0.1582 0.7500 0.0005
O 0.1730 0.0102 0.4815
O 0.1730 0.4898 0.4815
O 0.2428 0.1770 0.2903
O 0.2428 0.3230 0.2903
O 0.2572 0.6770 0.7903
O 0.2572 0.8230 0.7903
O 0.3270 0.5102 0.9815
O 0.3270 0.9898 0.9815
O 0.3418 0.2500 0.5005
O 0.3785 0.5850 0.5660
O 0.3785 0.9150 0.5660
O 0.3916 0.5337 0.3122
O 0.3916 0.9663 0.3122
O 0.4043 0.7500 0.2485
O 0.4706 0.1772 0.9559
O 0.4706 0.3228 0.9559
O 0.5294 0.6772 0.0441
O 0.5294 0.8228 0.0441
O 0.5957 0.2500 0.7515
O 0.6084 0.0337 0.6878
O 0.6084 0.4663 0.6878
O 0.6215 0.0850 0.4340
O 0.6215 0.4150 0.4340
O 0.6582 0.7500 0.4995
O 0.6730 0.0102 0.0185
O 0.6730 0.4898 0.0185
O 0.7428 0.1770 0.2097
O 0.7428 0.3230 0.2097
O 0.7572 0.6770 0.7097
O 0.7572 0.8230 0.7097
O 0.8270 0.5102 0.5185
O 0.8270 0.9898 0.5185
O 0.8418 0.2500 0.9995
O 0.8785 0.5850 0.9340
O 0.8785 0.9150 0.9340
O 0.8916 0.5337 0.1878
O 0.8916 0.9663 0.1878
O 0.9043 0.7500 0.2515
O 0.9706 0.1772 0.5441
O 0.9706 0.3228 0.5441

Which formula does entry 2 have? K2BaBS

E_tot of number 4 (Ba3La2B4O12)? -8.08 eV per atom